Record 1
DFT (GGA-PBE) results for a geometry-optimized CePm4Ir2 structure.

The structure in extended XYZ format:
```
7
Lattice="-2.146 -4.762 0.355 2.653 -4.197 -1.659 3.647 -3.956 7.580" Properties=species:S:1:pos:R:3 pbc="T T T"
Pm 1.545 -9.248 1.088
Pm 0.563 -3.096 0.473
Pm 3.590 -9.819 5.803
Pm 2.609 -3.667 5.187
Ce 2.077 -6.457 3.138
Ir 3.098 -6.742 5.492
Ir 1.055 -6.173 0.784
```

Output
energy of formation from the pure elements: -348 meV/atom
density of states at the Fermi level: 1.5570 states/eV/atom
total magnetic moment: 0.6 Bohr magnetons per cell

---

Record 2
DFT (GGA-PBE) results for a geometry-optimized CePm8Ir6 structure.

The structure in extended XYZ format:
```
15
Lattice="-6.920 3.572 1.463 -6.475 -3.825 -2.495 -4.478 -3.291 5.648" Properties=species:S:1:pos:R:3 pbc="T T T"
Ce 0.000 0.000 0.000
Ir -10.265 -1.896 5.574
Ir -7.608 -1.649 -0.958
Ir -10.743 -4.708 1.559
Ir -7.130 1.164 3.056
Ir -11.758 0.106 1.328
Ir -6.115 -3.650 3.287
Pm -9.079 -4.210 4.036
Pm -10.084 0.551 3.803
Pm -7.317 -1.310 4.780
Pm -7.789 -4.095 0.812
Pm -11.840 -2.348 3.057
Pm -8.794 0.665 0.579
Pm -6.033 -1.197 1.558
Pm -10.556 -2.235 -0.165
```

Output
energy of formation from the pure elements: -636 meV/atom
density of states at the Fermi level: 0.6963 states/eV/atom
total magnetic moment: 0.0 Bohr magnetons per cell

---

Record 3
DFT (GGA-PBE) results for a geometry-optimized Ce3PmIr8 structure.

The structure in extended XYZ format:
```
12
Lattice="-2.171 0.698 -4.899 1.605 -3.091 -4.132 -6.471 -6.665 -1.062" Properties=species:S:1:pos:R:3 pbc="T T T"
Ce -5.872 -6.727 -4.316
Ce -3.527 -4.537 -5.044
Ce -6.464 -6.658 -1.064
Ir -2.542 -1.937 -6.606
Ir -5.793 -5.286 -7.126
Ir -1.452 -2.287 -4.147
Ir -6.457 -7.895 -7.204
Ir -3.900 -7.185 -6.741
Ir -0.646 -3.838 -6.221
Ir -4.988 -6.835 -9.197
Ir -2.936 -3.364 -2.158
Pm -2.922 -4.594 -8.300
```

Output
energy of formation from the pure elements: -760 meV/atom
density of states at the Fermi level: 1.3643 states/eV/atom
total magnetic moment: 0.0 Bohr magnetons per cell

---

Record 4
DFT (GGA-PBE) results for a geometry-optimized Ce2Pm5Ir5 structure.

The structure in extended XYZ format:
```
12
Lattice="-3.973 0.651 -0.129 1.547 -1.706 6.660 1.976 11.884 -0.892" Properties=species:S:1:pos:R:3 pbc="T T T"
Ce 1.520 9.234 -0.213
Ce -1.970 1.594 5.852
Pm 1.578 10.357 3.655
Pm -2.029 0.471 1.985
Pm -0.998 6.267 -0.510
Pm -1.491 3.925 2.856
Pm 1.041 6.903 2.784
Ir -0.558 9.382 1.638
Ir 0.107 1.446 4.002
Ir 0.716 4.589 1.110
Ir 0.000 0.000 0.000
Ir -1.166 6.239 4.529
```

Output
energy of formation from the pure elements: -624 meV/atom
density of states at the Fermi level: 0.9816 states/eV/atom
total magnetic moment: 0.5 Bohr magnetons per cell

---

Record 5
DFT (GGA-PBE) results for a geometry-optimized CePm5Ir4 structure.

The structure in extended XYZ format:
```
10
Lattice="4.510 0.000 -1.431 0.140 7.118 0.442 0.081 0.677 8.075" Properties=species:S:1:pos:R:3 pbc="T T T"
Ir 0.060 1.638 0.190
Ir 3.068 5.339 1.848
Ir 1.663 2.456 5.238
Ir 4.671 6.156 6.895
Pm 3.893 4.356 4.445
Pm 0.923 6.960 2.909
Pm 2.325 3.559 -0.495
Pm 0.838 3.438 2.641
Pm 3.808 0.835 4.176
Ce 2.255 0.000 -0.716
```

Output
energy of formation from the pure elements: -620 meV/atom
density of states at the Fermi level: 0.6983 states/eV/atom
total magnetic moment: 0.0 Bohr magnetons per cell
offset from the most stable computed form: 0 meV per atom

---

Record 6
DFT (GGA-PBE) results for a geometry-optimized CePmIr structure.

The structure in extended XYZ format:
```
6
Lattice="5.221 0.000 0.106 0.000 5.144 -0.003 -0.125 -2.576 6.136" Properties=species:S:1:pos:R:3 pbc="T T T"
Ir 1.256 0.000 2.443
Ir 3.840 2.568 3.796
Pm 1.201 2.568 5.143
Pm 3.895 0.000 1.096
Ce 3.829 -0.004 4.330
Ce 1.267 2.572 1.910
```

Output
energy of formation from the pure elements: -426 meV/atom
density of states at the Fermi level: 1.8193 states/eV/atom
total magnetic moment: 0.2 Bohr magnetons per cell
offset from the most stable computed form: 129 meV per atom

---

Record 7
DFT (GGA-PBE) results for a geometry-optimized CePm3Ir3 structure.

The structure in extended XYZ format:
```
14
Lattice="-0.969 4.993 5.703 -6.333 -1.398 4.043 1.530 -3.059 6.834" Properties=species:S:1:pos:R:3 pbc="T T T"
Ir -1.047 -0.580 10.907
Ir -3.950 3.025 9.780
Ir -4.725 1.116 5.674
Ir -5.475 -1.472 9.394
Ir -1.822 -2.488 6.801
Ir -0.297 2.008 7.186
Pm -4.737 -1.664 6.520
Pm -2.832 -2.663 9.592
Pm -2.940 3.200 6.989
Pm 0.125 -0.834 8.186
Pm -1.035 2.200 10.060
Pm -5.897 1.370 8.394
Ce -3.907 0.363 11.222
Ce -1.865 0.173 5.358
```

Output
energy of formation from the pure elements: -652 meV/atom
density of states at the Fermi level: 0.8182 states/eV/atom
total magnetic moment: 0.0 Bohr magnetons per cell
offset from the most stable computed form: 0 meV per atom

---

Record 8
DFT (GGA-PBE) results for a geometry-optimized Ce2PmIr structure.

The structure in extended XYZ format:
```
32
Lattice="-1.458 5.506 2.272 1.967 -3.216 9.057 13.685 4.230 -1.471" Properties=species:S:1:pos:R:3 pbc="T T T"
Ce 8.109 3.345 9.463
Ce 13.702 4.007 3.170
Ce 1.258 1.262 10.211
Ce 12.937 5.258 -0.353
Ce 6.851 1.924 3.918
Ce 6.086 3.175 0.396
Ce 3.684 -0.160 3.811
Ce 4.956 1.299 9.366
Ce 2.939 1.057 0.382
Ce 11.256 5.463 9.476
Ce 4.211 2.517 5.937
Ce 9.239 5.221 0.492
Ce 7.344 4.596 5.940
Ce 0.493 2.513 6.689
Ce 10.511 6.681 6.047
Ce 9.984 4.004 3.921
Pm 7.888 7.163 3.487
Pm 4.790 5.073 3.417
Pm 11.672 7.039 2.620
Pm 12.556 3.716 6.562
Pm 6.307 -0.643 6.371
Pm 1.639 2.804 3.296
Pm 9.405 1.448 6.441
Pm 2.523 -0.518 7.238
Ir 9.669 4.452 7.450
Ir 2.760 2.589 8.290
Ir 6.589 2.293 7.353
Ir 11.435 3.932 1.569
Ir 1.421 -0.371 2.216
Ir 12.774 6.891 7.642
Ir 4.526 2.068 2.408
Ir 7.606 4.228 2.505
```

Output
energy of formation from the pure elements: -421 meV/atom
density of states at the Fermi level: 2.3952 states/eV/atom
total magnetic moment: 6.1 Bohr magnetons per cell
offset from the most stable computed form: 0 meV per atom

---

Record 9
DFT (GGA-PBE) results for a geometry-optimized CePm5Ir3 structure.

The structure in extended XYZ format:
```
18
Lattice="-5.469 -4.812 -3.105 4.004 -6.253 -2.751 -1.427 -7.779 6.506" Properties=species:S:1:pos:R:3 pbc="T T T"
Ir 0.000 0.000 0.000
Ir -0.713 -3.890 3.253
Ir -1.413 -8.694 2.414
Ir -1.479 -10.150 -1.763
Ir -2.163 -13.838 1.526
Ir -0.729 -5.007 -0.875
Pm -1.167 -7.727 -0.246
Pm -1.725 -11.118 0.896
Pm -1.175 -8.765 -4.235
Pm -4.284 -8.347 2.290
Pm -4.324 -9.628 -1.854
Pm 1.392 -10.498 -1.640
Pm -1.716 -10.080 4.885
Pm 1.432 -9.216 2.504
Pm 1.133 -5.817 -2.858
Pm -2.598 -5.249 -2.998
Ce -1.143 -6.515 4.051
Ce -1.749 -12.329 -3.401
```

Output
energy of formation from the pure elements: -508 meV/atom
density of states at the Fermi level: 1.2370 states/eV/atom
total magnetic moment: 1.7 Bohr magnetons per cell

---

Record 10
DFT (GGA-PBE) results for a geometry-optimized CePmIr structure.

The structure in extended XYZ format:
```
3
Lattice="-1.512 2.998 -1.385 0.985 -1.044 -3.336 -4.469 -3.626 1.793" Properties=species:S:1:pos:R:3 pbc="T T T"
Pm -4.898 -1.618 -2.917
Ir -2.995 -1.677 -0.359
Ce -2.099 -0.051 -2.581
```

Output
energy of formation from the pure elements: -433 meV/atom
density of states at the Fermi level: 1.2461 states/eV/atom
total magnetic moment: 0.0 Bohr magnetons per cell
offset from the most stable computed form: 122 meV per atom

---

Record 11
DFT (GGA-PBE) results for a geometry-optimized CePmIr structure.

The structure in extended XYZ format:
```
3
Lattice="4.900 0.000 0.000 2.450 4.244 0.000 2.450 1.415 4.001" Properties=species:S:1:pos:R:3 pbc="T T T"
Pm 0.000 0.000 0.000
Ir 2.450 1.415 1.000
Ce 4.900 2.829 2.001
```

Output
energy of formation from the pure elements: -473 meV/atom
density of states at the Fermi level: 2.5939 states/eV/atom
total magnetic moment: 1.1 Bohr magnetons per cell
offset from the most stable computed form: 82 meV per atom

---

Record 12
DFT (GGA-PBE) results for a geometry-optimized Ce2PmIr3 structure.

The structure in extended XYZ format:
```
12
Lattice="-4.096 4.290 -1.076 -6.076 -6.089 -1.143 3.944 1.084 6.191" Properties=species:S:1:pos:R:3 pbc="T T T"
Ce -3.263 3.249 0.038
Ce -2.965 -3.963 3.933
Ce 0.072 -0.918 4.505
Ce -6.300 0.203 -0.533
Pm -4.632 -1.881 1.700
Pm -1.596 1.166 2.271
Ir -6.605 -2.422 -1.396
Ir -3.567 0.623 -0.824
Ir -1.519 -1.522 -0.286
Ir -4.556 -4.566 -0.858
Ir -1.066 -2.502 2.524
Ir 1.972 0.542 3.095
```

Output
energy of formation from the pure elements: -425 meV/atom
density of states at the Fermi level: 1.2299 states/eV/atom
total magnetic moment: 0.0 Bohr magnetons per cell

---

Record 13
DFT (GGA-PBE) results for a geometry-optimized Ce2PmIr structure.

The structure in extended XYZ format:
```
8
Lattice="-0.843 2.794 -2.441 -1.523 -5.312 -2.593 -8.915 0.676 3.851" Properties=species:S:1:pos:R:3 pbc="T T T"
Ce -6.790 -1.045 -1.823
Ce -10.227 -0.784 -0.338
Ce -1.054 -1.059 -0.846
Ce -4.491 -0.798 0.639
Pm -3.867 -3.131 -2.250
Pm -7.414 1.289 1.066
Ir -7.833 -1.799 0.638
Ir -3.448 -0.044 -1.822
```

Output
energy of formation from the pure elements: -418 meV/atom
density of states at the Fermi level: 2.3184 states/eV/atom
total magnetic moment: 1.3 Bohr magnetons per cell
offset from the most stable computed form: 3 meV per atom

---

Record 14
DFT (GGA-PBE) results for a geometry-optimized Ce4PmIr4 structure.

The structure in extended XYZ format:
```
18
Lattice="-4.843 1.737 -2.307 -4.657 -5.007 6.005 -0.199 7.063 5.735" Properties=species:S:1:pos:R:3 pbc="T T T"
Ce -5.642 -1.842 3.569
Ce -7.814 4.454 5.978
Ce -3.864 -1.268 7.152
Ce -6.734 1.236 8.170
Ce -2.967 2.558 1.260
Ce -6.725 1.075 1.148
Ce -0.994 3.325 4.586
Ce -4.054 5.634 5.865
Ir -0.576 1.585 2.399
Ir -4.273 0.311 2.317
Ir -4.282 0.472 9.339
Ir -3.463 4.193 3.531
Ir -6.428 6.503 4.612
Ir -8.110 -0.974 2.514
Ir -6.238 -0.399 5.899
Ir -5.423 3.481 7.116
Pm -4.849 1.896 4.716
Pm 0.000 0.000 0.000
```

Output
energy of formation from the pure elements: -665 meV/atom
density of states at the Fermi level: 1.2995 states/eV/atom
total magnetic moment: 0.0 Bohr magnetons per cell

---

Record 15
DFT (GGA-PBE) results for a geometry-optimized CePm5Ir4 structure.

The structure in extended XYZ format:
```
10
Lattice="4.203 0.000 0.000 0.000 7.548 -1.258 -2.102 -2.368 9.115" Properties=species:S:1:pos:R:3 pbc="T T T"
Ir 2.102 0.558 3.376
Ir 2.102 -0.559 8.813
Ir 0.000 4.623 4.481
Ir 0.000 5.739 -0.956
Pm 2.102 2.881 5.358
Pm 0.000 2.299 2.499
Pm 2.102 3.774 -0.629
Pm 2.102 -0.993 6.003
Pm 0.000 6.173 1.854
Ce 2.102 0.000 0.000
```

Output
energy of formation from the pure elements: -593 meV/atom
density of states at the Fermi level: 0.7075 states/eV/atom
total magnetic moment: 0.0 Bohr magnetons per cell
offset from the most stable computed form: 26 meV per atom

---

Record 16
DFT (GGA-PBE) results for a geometry-optimized CePmIr2 structure.

The structure in extended XYZ format:
```
4
Lattice="-1.628 3.577 -0.982 -1.746 2.283 2.855 4.762 4.961 1.819" Properties=species:S:1:pos:R:3 pbc="T T T"
Pm 0.000 0.000 0.000
Ce 0.694 5.411 1.846
Ir 0.444 2.755 0.943
Ir 0.944 8.067 2.749
```

Output
energy of formation from the pure elements: -578 meV/atom
density of states at the Fermi level: 0.7046 states/eV/atom
total magnetic moment: 0.0 Bohr magnetons per cell
offset from the most stable computed form: 153 meV per atom

---

Record 17
DFT (GGA-PBE) results for a geometry-optimized CePmIrRu structure.

The structure in extended XYZ format:
```
4
Lattice="-4.278 2.427 0.441 -4.138 -1.927 -1.884 -3.516 -1.721 3.011" Properties=species:S:1:pos:R:3 pbc="T T T"
Ru -8.950 -0.916 1.175
Pm -5.966 -0.611 0.784
Ir -2.983 -0.305 0.392
Ce 0.000 0.000 0.000
```

Output
energy of formation from the pure elements: -427 meV/atom
density of states at the Fermi level: 0.9672 states/eV/atom
total magnetic moment: 0.1 Bohr magnetons per cell

---

Record 18
DFT (GGA-PBE) results for a geometry-optimized Ce2Pm2Si4Ir structure.

The structure in extended XYZ format:
```
9
Lattice="-4.500 -4.221 -1.982 1.349 -0.452 6.323 -1.863 6.185 -0.523" Properties=species:S:1:pos:R:3 pbc="T T T"
Si 0.577 1.142 4.678
Si -2.729 2.163 3.377
Si -1.091 4.591 1.121
Si -2.286 -0.651 0.441
Ce -0.171 1.906 1.928
Ce -0.343 3.827 3.872
Pm -3.310 2.415 0.197
Pm -1.704 -0.904 3.620
Ir 0.000 0.000 0.000
```

Output
formation energy from raw total energies: -430 meV/atom
density of states at the Fermi level: 0.8164 states/eV/atom
total magnetic moment: 1.3 Bohr magnetons per cell

---

Record 19
DFT (GGA-PBE) results for a geometry-optimized CePm2Si3Ir4 structure.

The structure in extended XYZ format:
```
10
Lattice="-0.001 -3.704 1.973 3.111 -1.324 -2.485 7.269 3.774 7.090" Properties=species:S:1:pos:R:3 pbc="T T T"
Ir 4.043 0.629 1.184
Ir 4.781 0.631 5.650
Ir 1.555 -2.514 -0.256
Ir 0.000 0.000 0.000
Si 6.401 1.472 7.230
Si 3.635 1.887 3.545
Si 2.423 -0.212 -0.396
Pm 1.646 -0.997 2.592
Pm 7.178 2.257 4.242
Ce 5.190 -0.627 3.289
```

Output
formation energy from raw total energies: -915 meV/atom
density of states at the Fermi level: 0.5769 states/eV/atom
total magnetic moment: 0.0 Bohr magnetons per cell

---

Record 20
DFT (GGA-PBE) results for a geometry-optimized CePmSnIr structure.

The structure in extended XYZ format:
```
4
Lattice="-3.121 -2.736 -3.160 -0.628 -5.124 0.751 -4.547 -1.838 1.777" Properties=species:S:1:pos:R:3 pbc="T T T"
Pm -6.222 -7.273 -0.474
Sn 0.000 0.000 0.000
Ir -4.148 -4.849 -0.316
Ce -2.074 -2.424 -0.158
```

Output
energy of formation from the pure elements: -460 meV/atom
density of states at the Fermi level: 1.6060 states/eV/atom
total magnetic moment: 0.5 Bohr magnetons per cell